Version w
This record from Alexandria via LeMat-Bulk describes a relaxed LaZn2Ag6 crystal. The functional is GGA-PBE.

Results
The volume is 214 Å³/f.u.

a b c (Å): 8.4619 8.4619 8.4619
angles (deg): 60.00 60.00 60.00
Positions (direct):
La1 0.5000 0.5000 0.5000
La2 0.7500 0.7500 0.7500
Ag1 0.7538 0.7538 0.2462
Ag2 0.0038 0.4962 0.0038
Ag3 0.2462 0.7538 0.2462
Ag4 0.4962 0.4962 0.0038
Ag5 0.7538 0.2462 0.2462
Ag6 0.0038 0.4962 0.4962
Ag7 0.4962 0.0038 0.0038
Ag8 0.0038 0.0038 0.4962
Ag9 0.2462 0.2462 0.7538
Ag10 0.7538 0.2462 0.7538
Ag11 0.2462 0.7538 0.7538
Ag12 0.4962 0.0038 0.4962
Zn1 0.6250 0.1250 0.1250
Zn2 0.1250 0.1250 0.6250
Zn3 0.1250 0.6250 0.1250
Zn4 0.1250 0.1250 0.1250



Version x
This record from Alexandria via LeMat-Bulk describes a relaxed LaZn2Ag6 crystal. The functional is GGA-PBE.

Results
The volume is 177 Å³/f.u.

a b c (Å): 4.2842 4.2842 9.6671
angles (deg): 90.00 90.00 90.00
Positions (direct):
Ag1 0.5000 0.0000 0.2929
Ag2 0.0000 0.5000 0.7071
Ag3 0.0000 0.0000 0.5000
Ag4 0.5000 0.5000 0.5000
Ag5 0.5000 0.0000 0.7071
Ag6 0.0000 0.5000 0.2929
La1 0.0000 0.0000 0.0000
Zn1 0.5000 0.5000 0.1312
Zn2 0.5000 0.5000 0.8688



How far above the most stable structure does each one sit? In eV/atom: version w 0.334; version x 0.000.



Version w
This record from Alexandria via LeMat-Bulk describes a relaxed LaZrAg crystal. The functional is GGA-PBE.

Results
The volume is 77 Å³/f.u.

a b c (Å): 8.9939 5.0669 3.3665
angles (deg): 90.00 90.00 90.00
Positions (direct):
Ag1 0.8028 0.6398 0.0137
Ag2 0.0104 0.1398 0.0138
La1 0.6884 0.1398 0.5137
La2 0.1141 0.6398 0.5138
Zr1 0.4594 0.6398 0.0136
Zr2 0.3351 0.1398 0.5135



Version x
This record from Alexandria via LeMat-Bulk describes a relaxed LaZrAg crystal. The functional is GGA-PBE.

Results
The volume is 79 Å³/f.u.

a b c (Å): 3.2656 11.3423 8.8785
angles (deg): 78.48 100.60 90.00
Positions (direct):
La1 0.9319 0.6505 0.8638
La2 0.0681 0.3495 0.1362
La3 0.5805 0.8455 0.1610
La4 0.4195 0.1545 0.8390
Zr1 0.7595 0.8689 0.5189
Zr2 0.2405 0.1311 0.4811
Zr3 0.2388 0.6423 0.4776
Zr4 0.7612 0.3577 0.5224
Ag1 0.6084 0.0984 0.2169
Ag2 0.6114 0.5663 0.2228
Ag3 0.3916 0.9016 0.7831
Ag4 0.3886 0.4337 0.7772



Version y
This record from Alexandria via LeMat-Bulk describes a relaxed LaZrAg crystal. The functional is GGA-PBE.

Results
The volume is 77 Å³/f.u.

a b c (Å): 8.9539 5.2175 3.4229
angles (deg): 90.00 90.00 106.81
Positions (direct):
La1 0.0475 0.4621 0.6538
La2 0.7558 0.8172 0.6538
Ag1 0.6803 0.2798 0.1538
Ag2 0.1231 0.9994 0.1538
Zr1 0.4017 0.1402 0.6538
Zr2 0.4017 0.6402 0.1538



How far above the most stable structure does each one sit? In eV/atom: version w 0.011; version x 0.140; version y 0.000.



Version w
This record from Alexandria via LeMat-Bulk describes a relaxed LaZrAg crystal. The functional is GGA-PBE.

Results
The volume is 80 Å³/f.u.

a b c (Å): 8.2451 4.5408 8.5549
angles (deg): 90.00 90.00 90.00
Positions (direct):
Ag1 0.7682 0.2500 0.3655
Ag2 0.2318 0.7500 0.6345
Ag3 0.2682 0.2500 0.1345
Ag4 0.7318 0.7500 0.8655
La1 0.5347 0.2500 0.6641
La2 0.4653 0.7500 0.3359
La3 0.0347 0.2500 0.8359
La4 0.9653 0.7500 0.1641
Zr1 0.3803 0.7500 0.9422
Zr2 0.1197 0.2500 0.4422
Zr3 0.8803 0.7500 0.5578
Zr4 0.6197 0.2500 0.0578



Version x
This record from Alexandria via LeMat-Bulk describes a relaxed LaZrAg crystal. The functional is GGA-PBE.

Results
The volume is 83 Å³/f.u.

a b c (Å): 4.8869 4.8869 4.8869
angles (deg): 60.00 60.00 60.00
Positions (direct):
La1 0.2500 0.2500 0.2500
Zr1 0.5000 0.5000 0.5000
Ag1 0.7500 0.7500 0.7500



How far above the most stable structure does each one sit? In eV/atom: version w 0.000; version x 0.552.



Version w
This record from Alexandria via LeMat-Bulk describes a relaxed LaZrAg crystal. The functional is GGA-PBE.

Results
The volume is 77 Å³/f.u.

a b c (Å): 6.0350 5.9907 6.0336
angles (deg): 60.22 120.58 119.77
Positions (direct):
Zr1 0.9755 0.6433 0.8847
Zr2 0.9077 0.0748 0.9538
La1 0.3226 0.7079 0.5384
La2 0.5603 0.4457 0.3003
Ag1 0.9415 0.1230 0.4193
Ag2 0.4416 0.1225 0.9193



Version x
This record from Alexandria via LeMat-Bulk describes a relaxed LaZrAg crystal. The functional is GGA-PBE.

Results
The volume is 77 Å³/f.u.

a b c (Å): 5.2198 6.1264 6.2650
angles (deg): 100.82 66.46 66.81
Positions (direct):
Zr1 0.8580 0.3282 0.0471
Zr2 0.4257 0.7107 0.6249
Ag1 0.5107 0.2526 0.7948
Ag2 0.7729 0.7867 0.8772
La1 0.2360 0.2439 0.4040
La2 0.0476 0.7951 0.2681



How far above the most stable structure does each one sit? In eV/atom: version w 0.000; version x 0.054.



Version w
This record from Alexandria via LeMat-Bulk describes a relaxed LaZrAg crystal. The functional is GGA-PBE.

Results
The volume is 77 Å³/f.u.

a b c (Å): 8.6193 5.2414 3.5035
angles (deg): 90.00 101.72 90.00
Positions (direct):
Ag1 0.6898 0.3067 0.7563
Ag2 0.1136 0.8068 0.9677
Zr1 0.4133 0.3059 0.1175
Zr2 0.3901 0.8059 0.6065
La1 0.7458 0.8067 0.2842
La2 0.0576 0.3068 0.4397



Version x
This record from Alexandria via LeMat-Bulk describes a relaxed LaZrAg crystal. The functional is GGA-PBE.

Results
The volume is 77 Å³/f.u.

a b c (Å): 6.5215 5.2238 5.2237
angles (deg): 60.00 89.99 90.00
Last column: magnetic moment on the atom in μB.
Positions (direct):
La1 0.5904 0.8529 0.5055  0.01
La2 0.2316 0.5195 0.1720  0.03
Ag1 0.4474 0.1863 0.8388  0.00
Ag2 0.0478 0.8528 0.5052  0.01
Zr1 0.7775 0.5195 0.1720  0.14
Zr2 0.9216 0.1861 0.8386  0.09



Version y
This record from Alexandria via LeMat-Bulk describes a relaxed LaZrAg crystal. The functional is GGA-PBE.

Results
The volume is 78 Å³/f.u.

a b c (Å): 6.8354 6.8354 3.4905
angles (deg): 75.21 75.21 29.59
Positions (direct):
Ag1 0.0189 0.0189 0.9811
La1 0.3344 0.3344 0.6656
Zr1 0.6467 0.6467 0.3533



How far above the most stable structure does each one sit? In eV/atom: version w 0.000; version x 0.114; version y 0.060.



Version w
This record from Alexandria via LeMat-Bulk describes a relaxed LaZrAg3 crystal. The functional is GGA-PBE.

Results
The volume is 150 Å³/f.u.

a b c (Å): 5.3163 5.3163 5.3163
angles (deg): 90.00 90.00 90.00
Positions (direct):
Zr1 0.5000 0.5000 0.5000
Ag1 0.0000 0.5000 0.0000
Ag2 0.5000 0.0000 0.0000
Ag3 0.0000 0.0000 0.5000
La1 0.0000 0.0000 0.0000



Version x
This record from Alexandria via LeMat-Bulk describes a relaxed LaZrAg3 crystal. The functional is GGA-PBE.

Results
The volume is 143 Å³/f.u.

a b c (Å): 5.2256 5.2256 5.2256
angles (deg): 90.00 90.00 90.00
Last column: magnetic moment on the atom in μB.
Positions (direct):
Ag1 0.0000 0.5000 0.0000  0.00
Ag2 0.5000 0.0000 0.0000  0.01
Ag3 0.0000 0.0000 0.5000  0.00
Zr1 0.0000 0.0000 0.0000  0.06
La1 0.5000 0.5000 0.5000  0.00



How far above the most stable structure does each one sit? In eV/atom: version w 0.637; version x 0.000.



Version w
This record from Alexandria via LeMat-Bulk describes a relaxed LaZr2Ag crystal. The functional is GGA-PBE.

Results
The volume is 91 Å³/f.u.

a b c (Å): 5.0473 5.0473 5.0473
angles (deg): 60.00 60.00 60.00
Positions (direct):
Zr1 0.7500 0.7500 0.7500
Zr2 0.2500 0.2500 0.2500
La1 0.5000 0.5000 0.5000
Ag1 0.0000 0.0000 0.0000



Version x
This record from Alexandria via LeMat-Bulk describes a relaxed LaZr2Ag crystal. The functional is GGA-PBE.

Results
The volume is 102 Å³/f.u.

a b c (Å): 4.3131 4.3131 11.3960
angles (deg): 79.09 79.09 90.00
Positions (direct):
Ag1 0.2500 0.7500 0.5000
Ag2 0.5000 0.5000 0.0000
Zr1 0.6121 0.1250 0.2500
Zr2 0.1379 0.6250 0.2500
Zr3 0.3750 0.3879 0.7500
Zr4 0.8750 0.8621 0.7500
La1 0.7500 0.2500 0.5000
La2 0.0000 0.0000 0.0000



Version y
This record from Alexandria via LeMat-Bulk describes a relaxed LaZr2Ag crystal. The functional is GGA-PBE.

Results
The volume is 93 Å³/f.u.

a b c (Å): 5.2786 5.2786 3.3329
angles (deg): 90.00 90.00 90.07
Positions (direct):
Zr1 0.0000 0.0000 0.0000
Zr2 0.5000 0.5000 0.0000
Ag1 0.5000 0.0000 0.5000
La1 0.0000 0.5000 0.5000



How far above the most stable structure does each one sit? In eV/atom: version w 0.040; version x 0.101; version y 0.000.



Version w
This record from Alexandria via LeMat-Bulk describes a relaxed LaZr2Ag crystal. The functional is GGA-PBE.

Results
The volume is 97 Å³/f.u.

a b c (Å): 5.5765 5.5765 5.5765
angles (deg): 131.00 131.00 71.81
Positions (direct):
Zr1 0.2500 0.7500 0.5000
Zr2 0.0000 0.0000 0.0000
Ag1 0.5000 0.5000 0.0000
La1 0.7500 0.2500 0.5000



Version x
This record from Alexandria via LeMat-Bulk describes a relaxed LaZr2Ag crystal. The functional is GGA-PBE.

Results
The volume is 100 Å³/f.u.

a b c (Å): 3.3336 3.3336 9.0105
angles (deg): 90.00 90.00 90.00
Positions (direct):
Zr1 0.0000 0.0000 0.0354
Zr2 0.5000 0.5000 0.2631
La1 0.5000 0.5000 0.7326
Ag1 0.0000 0.0000 0.4689



Version y
This record from Alexandria via LeMat-Bulk describes a relaxed LaZr2Ag crystal. The functional is GGA-PBE.

Results
The volume is 97 Å³/f.u.

a b c (Å): 5.4551 3.3282 5.3572
angles (deg): 89.99 90.00 90.00
Positions (direct):
Ag1 0.0000 0.3746 0.6152
Zr1 0.0000 0.8773 0.1210
Zr2 0.5000 0.3754 0.1335
La1 0.5000 0.8727 0.6303



How far above the most stable structure does each one sit? In eV/atom: version w 0.189; version x 0.000; version y 0.148.



Version w
This record from Alexandria via LeMat-Bulk describes a relaxed LaZrAg2 crystal. The functional is GGA-PBE.

Results
The volume is 96 Å³/f.u.

a b c (Å): 10.2149 10.2149 10.2149
angles (deg): 18.70 18.70 18.70
Positions (direct):
Zr1 0.7500 0.7500 0.7500
Ag1 0.0071 0.0071 0.0071
Ag2 0.4929 0.4929 0.4929
La1 0.2500 0.2500 0.2500



Version x
This record from Alexandria via LeMat-Bulk describes a relaxed LaZrAg2 crystal. The functional is GGA-PBE.

Results
The volume is 95 Å³/f.u.

a b c (Å): 3.5942 3.5942 7.3899
angles (deg): 90.00 90.00 90.00
Positions (direct):
Ag1 0.0000 0.0000 0.0083
Ag2 0.5000 0.5000 0.2067
Zr1 0.5000 0.5000 0.7989
La1 0.0000 0.0000 0.4861



How far above the most stable structure does each one sit? In eV/atom: version w 0.166; version x 0.000.



Version w
This record from Alexandria via LeMat-Bulk describes a relaxed Li4Ag5 crystal. The functional is GGA-PBE.

Results
The volume is 154 Å³/f.u.

a b c (Å): 6.4570 6.4570 6.4570
angles (deg): 95.77 95.77 143.03
Positions (direct):
Ag1 0.6692 0.6692 0.3383
Ag2 0.0000 0.0000 0.0000
Ag3 0.6692 0.3308 0.0000
Ag4 0.3308 0.3308 0.6617
Ag5 0.3308 0.6692 0.0000
Li1 0.0000 0.3174 0.3174
Li2 0.3174 0.0000 0.3174
Li3 0.0000 0.6826 0.6826
Li4 0.6826 0.0000 0.6826



Version x
This record from Alexandria via LeMat-Bulk describes a relaxed Li4Ag5 crystal. The functional is GGA-PBE.

Results
The volume is 149 Å³/f.u.

a b c (Å): 7.8293 7.8293 5.6212
angles (deg): 90.00 90.00 120.00
Positions (direct):
Ag1 0.3333 0.6667 0.0000
Ag2 0.6905 0.0000 0.2500
Ag3 0.3095 0.3095 0.2500
Ag4 0.0000 0.3095 0.7500
Ag5 0.6667 0.3333 0.5000
Ag6 0.0000 0.6905 0.2500
Ag7 0.6905 0.6905 0.7500
Ag8 0.6667 0.3333 0.0000
Ag9 0.3333 0.6667 0.5000
Ag10 0.3095 0.0000 0.7500
Li1 0.6428 0.6428 0.2500
Li2 0.6428 0.0000 0.7500
Li3 0.0000 0.0000 0.5000
Li4 0.0000 0.6428 0.7500
Li5 0.0000 0.3572 0.2500
Li6 0.0000 0.0000 0.0000
Li7 0.3572 0.3572 0.7500
Li8 0.3572 0.0000 0.2500



Version y
This record from Alexandria via LeMat-Bulk describes a relaxed Li4Ag5 crystal. The functional is GGA-PBE.

Results
The volume is 153 Å³/f.u.

a b c (Å): 4.5217 4.6130 9.4677
angles (deg): 62.96 76.18 60.65
Positions (direct):
Ag1 0.6663 0.5567 0.1107
Ag2 0.6669 0.2225 0.4436
Ag3 0.3337 0.4433 0.8893
Ag4 0.0000 0.0000 0.0000
Ag5 0.3331 0.7775 0.5564
Li1 0.0003 0.6662 0.3332
Li2 0.3331 0.1168 0.2169
Li3 0.6669 0.8832 0.7831
Li4 0.9997 0.3338 0.6668



How far above the most stable structure does each one sit? In eV/atom: version w 0.008; version x 0.014; version y 0.000.